Entry 1:
Tb4Er5Pu: relaxed, PBE-GGA.

**Electronic total energy**: -5.29 eV per atom
**Calculated density**: 8645 kg/m3
**Excess energy over the best structure of this formula in the dataset**: 0.013 eV/atom

Cell: 17.7069 4.9202 8.5693 Å, 90.00 117.99 90.00°
Space group C2/m (No. 12)
One atom of each set of equivalent atoms:
Tb: 0.0278 0.0000 0.2825
Tb: 0.1756 0.5000 0.4285
Er: 0.0000 0.5000 0.0000
Er: 0.1673 0.0000 0.7159
Er: 0.1682 0.0000 0.1206
Pu: 0.0000 0.5000 0.5000

Entry 2:
Tb6Er12Pu: relaxed, PBE-GGA.

**Electronic total energy**: -4.69 eV per atom
**Calculated density**: 8475 kg/m3

Cell: 15.6681 15.6681 8.8608 Å, 90.00 90.00 120.00°
Space group R-3m (No. 166, hexagonal axes)
One atom of each set of equivalent atoms:
Tb: 0.0769 0.5385 0.1803
Er: 0.0000 0.3895 0.5000
Er: 0.0818 0.1635 0.1668
Pu: 0.0000 0.0000 0.0000

Entry 3:
Tb2Er7Pu: relaxed, PBE-GGA.

**Electronic total energy**: -5.07 eV per atom
**Calculated density**: 8669 kg/m3

Cell: 11.8246 16.3204 3.4396 Å, 90.00 90.00 90.00°
Space group Cmmm (No. 65)
One atom of each set of equivalent atoms:
Tb: 0.0000 0.1654 0.0000
Er: 0.0000 0.3272 0.5000
Er: 0.0000 0.5000 0.0000
Er: 0.2391 0.3694 0.0000
Pu: 0.0000 0.0000 0.5000

Entry 4:
Tb8Er2Pu: relaxed, PBE-GGA.

**Electronic total energy**: -5.34 eV per atom
**Calculated density**: 8671 kg/m3
**Excess energy over the best structure of this formula in the dataset**: 0.000 eV/atom

Cell: 10.9833 6.9015 10.8396 Å, 90.00 120.42 90.00°
Space group C2/m (No. 12)
One atom of each set of equivalent atoms:
Tb: 0.0117 0.2487 0.2684
Tb: 0.1811 0.5000 0.6237
Tb: 0.1816 0.5000 0.0598
Er: 0.1727 0.0000 0.5834
Pu: 0.0000 0.0000 0.0000

Entry 5:
Tb8Er2Pu: relaxed, PBE-GGA.

**Electronic total energy**: -5.31 eV per atom
**Calculated density**: 8475 kg/m3
**Excess energy over the best structure of this formula in the dataset**: 0.034 eV/atom

Cell: 18.8664 6.8461 5.6175 Å, 90.00 92.43 90.00°
Space group C2/m (No. 12)
One atom of each set of equivalent atoms:
Tb: 0.0463 0.0000 0.2383
Tb: 0.1314 0.2346 0.7376
Tb: 0.1847 0.5000 0.2374
Er: 0.2166 0.0000 0.2492
Pu: 0.0000 0.5000 0.0000

Entry 6:
Tb6ErPu: relaxed, PBE-GGA.

**Electronic total energy**: -5.61 eV per atom
**Calculated density**: 8970 kg/m3
**Excess energy over the best structure of this formula in the dataset**: 0.000 eV/atom

Cell: 6.4314 6.7318 6.8334 Å, 118.93 93.08 99.19°
Space group P-1 (No. 2)
One atom of each set of equivalent atoms:
Tb: 0.2275 0.4688 0.4024
Tb: 0.2489 0.9973 0.9358
Tb: 0.2581 0.5127 0.9213
Er: 0.5000 0.0000 0.5000
Pu: 0.0000 0.0000 0.5000